The following is a DFT calculation (PBE-GGA) of an optimized crystal structure of Ir2PtRh6.

Calculated values
**Formation enthalpy at 0 K**: 267 meV per atom
**Distance to the lowest polymorph of the same formula**: 27.8 kJ per mole of atoms

a b c (Å): 4.323 5.308 14.827
angles (deg): 90.00 125.68 90.00
Sites, in units of the cell vectors:
Ir  0.086  0.388  0.793
Ir  0.586  0.112  0.293
Ir  0.914  0.612  0.207
Ir  0.414  0.888  0.707
Rh  0.330  0.391  0.665
Rh  0.690  0.638  0.595
Rh  0.728  0.128  0.614
Rh  0.190  0.862  0.095
Rh  0.228  0.372  0.114
Rh  0.772  0.628  0.886
Rh  0.310  0.362  0.405
Rh  0.810  0.138  0.905
Rh  0.830  0.109  0.165
Rh  0.272  0.872  0.386
Rh  0.670  0.609  0.335
Rh  0.170  0.891  0.835
Pt  0.000  0.000  0.500
Pt  0.500  0.500  0.000

The following is a DFT calculation (PBE-GGA) of an optimized crystal structure of Ir2Pt2Rh.

Calculated values
**Formation enthalpy at 0 K**: 526 meV per atom
**Distance to the lowest polymorph of the same formula**: 47.3 kJ per mole of atoms

a b c (Å): 3.618 3.618 6.887
angles (deg): 74.77 74.77 90.00
Sites, in units of the cell vectors:
Pt  0.401  0.401  0.197
Pt  0.599  0.599  0.803
Ir  0.750  0.250  0.500
Ir  0.250  0.750  0.500
Rh  0.000  0.000  0.000

The following is a DFT calculation (PBE-GGA) of an optimized crystal structure of IrPtRh2.

Calculated values
**Formation enthalpy at 0 K**: -12 meV per atom
**Distance to the lowest polymorph of the same formula**: 3.0 kJ per mole of atoms

a b c (Å): 4.758 4.758 4.758
angles (deg): 131.95 131.95 70.30
Sites, in units of the cell vectors:
Ir  0.250  0.750  0.500
Pt  0.750  0.250  0.500
Rh  0.000  0.000  0.000
Rh  0.500  0.500  0.000

Total DFT energy (no corrections) readings, ordered: -7.27, -6.90, -7.41 eV/atom